No. 1
The following is a PBEsol calculation of a geometry-optimized InBrCl structure, from Alexandria via LeMat-Bulk.

Summary:
The total energy comes out at -29.4 eV/cell. As for the energy relative to the elements, uncorrected: -0.16 eV per atom. As for the calculated density: 4448 kg/m3. The total moment is 2.5 μB per cell.

Unit cell a=7.0050 b=7.0050 c=7.0050 alpha=90.00 beta=90.00 gamma=90.00
Fractional coordinates of all 12 atoms:
In 0.0000 0.0000 0.0000
In 0.0000 0.5000 0.5000
In 0.5000 0.0000 0.5000
In 0.5000 0.5000 0.0000
Br 0.0000 0.0000 0.5000
Br 0.0000 0.5000 0.0000
Br 0.5000 0.0000 0.0000
Br 0.5000 0.5000 0.5000
Cl 0.2500 0.2500 0.2500
Cl 0.2500 0.7500 0.7500
Cl 0.7500 0.2500 0.7500
Cl 0.7500 0.7500 0.2500

No. 2
The following is a PBEsol calculation of a geometry-optimized TiPdCl2 structure, from Alexandria via LeMat-Bulk.

Summary:
The total energy comes out at -64.1 eV/cell. The value obtained for the energy above the lowest structure with this stoichiometry is 0 kJ/mol of formula units. As for the energy relative to the elements, uncorrected: -0.77 eV per atom. As for the calculated density: 5636 kg/m3. The total moment is 0.0 μB per cell.

Unit cell a=3.0963 b=3.0963 c=23.9727 alpha=90.00 beta=90.00 gamma=120.00
Fractional coordinates of all 12 atoms:
Ti 0.0000 0.0000 0.0000
Ti 0.3333 0.6667 0.6667
Ti 0.6667 0.3333 0.3333
Pd 0.0000 0.0000 0.5000
Pd 0.3333 0.6667 0.1667
Pd 0.6667 0.3333 0.8333
Cl 0.0000 0.0000 0.4021
Cl 0.0000 0.0000 0.5979
Cl 0.3333 0.6667 0.0687
Cl 0.3333 0.6667 0.2646
Cl 0.6667 0.3333 0.7354
Cl 0.6667 0.3333 0.9313

No. 3
The following is a PBEsol calculation of a geometry-optimized BaTc2 structure, from Alexandria via LeMat-Bulk.

Summary:
The total energy comes out at -86.2 eV/cell. The value obtained for the energy above the lowest structure with this stoichiometry is 0 kJ/mol of formula units. As for the calculated density: 7415 kg/m3. The formation energy is 1.0458 eV/atom. The total moment is 0.0 μB per cell.

Unit cell a=3.7189 b=13.9583 c=5.7517 alpha=90.00 beta=90.00 gamma=90.00
Fractional coordinates of all 12 atoms:
Ba 0.0000 0.1510 0.2500
Ba 0.0000 0.8490 0.7500
Ba 0.5000 0.3490 0.7500
Ba 0.5000 0.6510 0.2500
Tc 0.0000 0.1326 0.7500
Tc 0.0000 0.4610 0.2500
Tc 0.0000 0.5390 0.7500
Tc 0.0000 0.8674 0.2500
Tc 0.5000 0.0390 0.7500
Tc 0.5000 0.3674 0.2500
Tc 0.5000 0.6326 0.7500
Tc 0.5000 0.9610 0.2500

No. 4
The following is a PBEsol calculation of a geometry-optimized CuNiOs structure, from Alexandria via LeMat-Bulk.

Summary:
The total energy comes out at -43.5 eV/cell. The value obtained for the energy above the lowest structure with this stoichiometry is 0 kJ/mol of formula units. As for the calculated density: 14417 kg/m3. The formation energy is 0.3153 eV/atom. The total moment is 0.0 μB per cell.

Unit cell a=2.5294 b=3.6574 c=7.7809 alpha=90.00 beta=90.00 gamma=90.00
Fractional coordinates of all 6 atoms:
Cu 0.0000 0.0000 0.0000
Cu 0.5000 0.5000 0.5000
Ni 0.0000 0.0000 0.6649
Ni 0.5000 0.5000 0.1649
Os 0.0000 0.0000 0.3284
Os 0.5000 0.5000 0.8284

No. 5
The following is a PBEsol calculation of a geometry-optimized TlSe2I2 structure, from Alexandria via LeMat-Bulk.

Summary:
The total energy comes out at -28.0 eV/cell. As for the energy relative to the elements, uncorrected: -0.03 eV per atom. As for the calculated density: 6365 kg/m3. The total moment is 0.0 μB per cell.

Unit cell a=3.7175 b=3.7175 c=23.2604 alpha=90.00 beta=90.00 gamma=90.00
Fractional coordinates of all 10 atoms:
Tl 0.0000 0.0000 0.0000
Tl 0.5000 0.5000 0.5000
Se 0.0000 0.5000 0.2500
Se 0.0000 0.5000 0.7500
Se 0.5000 0.0000 0.2500
Se 0.5000 0.0000 0.7500
I 0.0000 0.0000 0.4088
I 0.0000 0.0000 0.5912
I 0.5000 0.5000 0.0912
I 0.5000 0.5000 0.9088

No. 6
The following is a PBEsol calculation of a geometry-optimized TaMo2H2 structure, from Alexandria via LeMat-Bulk.

Summary:
The total energy comes out at -85.6 eV/cell. As for the calculated density: 11605 kg/m3. The total moment is 0.0 μB per cell.

Unit cell a=3.2539 b=3.2539 c=10.1315 alpha=90.00 beta=90.00 gamma=90.00
Fractional coordinates of all 10 atoms:
Ta 0.0000 0.0000 0.0000
Ta 0.5000 0.5000 0.5000
Mo 0.0000 0.0000 0.3454
Mo 0.0000 0.0000 0.6546
Mo 0.5000 0.5000 0.1546
Mo 0.5000 0.5000 0.8454
H 0.0000 0.5000 0.2500
H 0.0000 0.5000 0.7500
H 0.5000 0.0000 0.2500
H 0.5000 0.0000 0.7500

No. 7
The following is a PBEsol calculation of a geometry-optimized FePdC2Se structure, from Alexandria via LeMat-Bulk.

Summary:
The total energy comes out at -28.9 eV/cell. As for the energy relative to the elements, uncorrected: 1.84 eV per atom. As for the calculated density: 5748 kg/m3. The total moment is 2.8 μB per cell.

Unit cell a=3.7847 b=3.7847 c=5.3493 alpha=90.00 beta=90.00 gamma=90.00
Fractional coordinates of all 5 atoms:
Fe 0.0000 0.0000 0.0000
Pd 0.0000 0.0000 0.5000
C 0.0000 0.5000 0.5000
C 0.5000 0.0000 0.5000
Se 0.5000 0.5000 0.0000

No. 8
The following is a PBEsol calculation of a geometry-optimized Zr3SbRu structure, from Alexandria via LeMat-Bulk.

Summary:
The total energy comes out at -35.5 eV/cell. As for the energy relative to the elements, uncorrected: 1.30 eV per atom. As for the calculated density: 6121 kg/m3. The total moment is 1.3 μB per cell.

Unit cell a=5.1262 b=5.1262 c=5.1262 alpha=90.00 beta=90.00 gamma=90.00
Fractional coordinates of all 5 atoms:
Zr 0.0000 0.0000 0.5000
Zr 0.0000 0.5000 0.0000
Zr 0.5000 0.0000 0.0000
Sb 0.0000 0.0000 0.0000
Ru 0.5000 0.5000 0.5000

No. 9
The following is a PBEsol calculation of a geometry-optimized Mo2SeS3 structure, from Alexandria via LeMat-Bulk.

Summary:
The total energy comes out at -91.8 eV/cell. As for the energy relative to the elements, uncorrected: -0.90 eV per atom. As for the calculated density: 5564 kg/m3. The total moment is 0.0 μB per cell.

Unit cell a=3.1685 b=3.1685 c=25.1974 alpha=90.00 beta=90.00 gamma=120.00
Fractional coordinates of all 12 atoms:
Mo 0.0000 0.0000 0.0000
Mo 0.0000 0.0000 0.4928
Mo 0.3333 0.6667 0.2463
Mo 0.3333 0.6667 0.7462
Se 0.0000 0.0000 0.6786
Se 0.0000 0.0000 0.8138
S 0.0000 0.0000 0.1849
S 0.0000 0.0000 0.3077
S 0.3333 0.6667 0.0614
S 0.3333 0.6667 0.4314
S 0.3333 0.6667 0.5542
S 0.3333 0.6667 0.9385

No. 10
The following is a PBEsol calculation of a geometry-optimized SrZn4Br structure, from Alexandria via LeMat-Bulk.

Summary:
The total energy comes out at -10.9 eV/cell. As for the energy relative to the elements, uncorrected: -0.14 eV per atom. As for the calculated density: 5588 kg/m3. The total moment is 0.0 μB per cell.

Unit cell a=5.6498 b=5.6498 c=5.6498 alpha=60.00 beta=60.00 gamma=60.00
Fractional coordinates of all 6 atoms:
Sr 0.0000 0.0000 0.0000
Zn 0.3745 0.3745 0.3745
Zn 0.3745 0.3745 0.8766
Zn 0.3745 0.8766 0.3745
Zn 0.8766 0.3745 0.3745
Br 0.7500 0.7500 0.7500

No. 11
The following is a PBEsol calculation of a geometry-optimized Cs3HgCl structure, from Alexandria via LeMat-Bulk.

Summary:
The total energy comes out at -9.1 eV/cell. As for the energy relative to the elements, uncorrected: -0.75 eV per atom. As for the calculated density: 3700 kg/m3. The total moment is 0.0 μB per cell.

Unit cell a=6.5799 b=6.5799 c=6.5799 alpha=90.00 beta=90.00 gamma=90.00
Fractional coordinates of all 5 atoms:
Cs 0.0000 0.0000 0.5000
Cs 0.0000 0.5000 0.0000
Cs 0.5000 0.0000 0.0000
Hg 0.5000 0.5000 0.5000
Cl 0.0000 0.0000 0.0000

No. 12
The following is a PBEsol calculation of a geometry-optimized H2PdS4O14 structure, from Alexandria via LeMat-Bulk.

Summary:
The total energy comes out at -252.8 eV/cell. As for the calculated density: 2895 kg/m3. The total moment is 4.0 μB per cell.

Unit cell a=9.1965 b=6.8536 c=9.3208 alpha=90.00 beta=115.90 gamma=90.00
Fractional coordinates of all 42 atoms:
H 0.0165 0.2093 0.4368
H 0.0165 0.2907 0.9368
H 0.9835 0.7093 0.0632
H 0.9835 0.7907 0.5632
Pd 0.5000 0.0000 0.0000
Pd 0.5000 0.5000 0.5000
S 0.2249 0.1393 0.3954
S 0.2249 0.3607 0.8954
S 0.3023 0.6740 0.1233
S 0.3023 0.8260 0.6233
S 0.6977 0.1740 0.3767
S 0.6977 0.3260 0.8767
S 0.7751 0.6393 0.1046
S 0.7751 0.8607 0.6046
O 0.1248 0.0103 0.2722
O 0.1248 0.4897 0.7722
O 0.1341 0.2415 0.9678
O 0.1341 0.2585 0.4678
O 0.1438 0.6241 0.1093
O 0.1438 0.8759 0.6093
O 0.3042 0.6565 0.5298
O 0.3042 0.8435 0.0298
O 0.3314 0.2307 0.8633
O 0.3314 0.2693 0.3633
O 0.3546 0.0148 0.5448
O 0.3546 0.4852 0.0448
O 0.4333 0.6744 0.2837
O 0.4333 0.8256 0.7837
O 0.5667 0.1744 0.2163
O 0.5667 0.3256 0.7163
O 0.6454 0.5148 0.9552
O 0.6454 0.9852 0.4552
O 0.6686 0.7307 0.6367
O 0.6686 0.7693 0.1367
O 0.6958 0.1565 0.9702
O 0.6958 0.3435 0.4702
O 0.8562 0.1241 0.3907
O 0.8562 0.3759 0.8907
O 0.8659 0.7415 0.5322
O 0.8659 0.7585 0.0322
O 0.8752 0.5103 0.2278
O 0.8752 0.9897 0.7278

No. 13
The following is a PBEsol calculation of a geometry-optimized CoCuBr2 structure, from Alexandria via LeMat-Bulk.

Summary:
The total energy comes out at -14.2 eV/cell. As for the energy relative to the elements, uncorrected: 0.40 eV per atom. As for the calculated density: 5889 kg/m3. The total moment is 1.8 μB per cell.

Unit cell a=3.4807 b=3.5137 c=6.5080 alpha=90.00 beta=90.00 gamma=90.00
Fractional coordinates of all 4 atoms:
Co 0.0000 0.0000 0.0000
Cu 0.5000 0.0000 0.5000
Br 0.0000 0.5000 0.5000
Br 0.5000 0.5000 0.0000

No. 14
The following is a PBEsol calculation of a geometry-optimized NiB2Pt structure, from Alexandria via LeMat-Bulk.

Summary:
The total energy comes out at -103.7 eV/cell. As for the calculated density: 9469 kg/m3. The formation energy is 0.3077 eV/atom. The total moment is 0.0 μB per cell.

Unit cell a=4.5397 b=4.5397 c=9.3739 alpha=90.00 beta=90.00 gamma=90.00
Fractional coordinates of all 16 atoms:
Ni 0.0000 0.0000 0.0000
Ni 0.0000 0.5000 0.2500
Ni 0.5000 0.0000 0.7500
Ni 0.5000 0.5000 0.5000
B 0.2313 0.2500 0.1250
B 0.2500 0.7313 0.3750
B 0.2500 0.7687 0.8750
B 0.2687 0.2500 0.6250
B 0.7313 0.7500 0.6250
B 0.7500 0.2313 0.8750
B 0.7500 0.2687 0.3750
B 0.7687 0.7500 0.1250
Pt 0.0000 0.0000 0.5000
Pt 0.0000 0.5000 0.7500
Pt 0.5000 0.0000 0.2500
Pt 0.5000 0.5000 0.0000

No. 15
The following is a PBEsol calculation of a geometry-optimized Ir2Au structure, from Alexandria via LeMat-Bulk.

Summary:
The total energy comes out at -45.0 eV/cell. The value obtained for the energy above the lowest structure with this stoichiometry is 22 kJ/mol of formula units. As for the calculated density: 21506 kg/m3. The formation energy is 0.3640 eV/atom. The total moment is 0.0 μB per cell.

Unit cell a=2.7778 b=3.8531 c=8.3884 alpha=90.00 beta=90.00 gamma=90.00
Fractional coordinates of all 6 atoms:
Ir 0.0000 0.0000 0.1736
Ir 0.0000 0.0000 0.8264
Ir 0.5000 0.5000 0.3264
Ir 0.5000 0.5000 0.6736
Au 0.0000 0.0000 0.5000
Au 0.5000 0.5000 0.0000

No. 16
The following is a PBEsol calculation of a geometry-optimized SrLa2Tl structure, from Alexandria via LeMat-Bulk.

Summary:
The total energy comes out at -31.8 eV/cell. The value obtained for the energy above the lowest structure with this stoichiometry is 0 kJ/mol of formula units. As for the calculated density: 6808 kg/m3. The formation energy is -0.1849 eV/atom. The total moment is 0.0 μB per cell.

Unit cell a=3.9272 b=5.6451 c=12.5382 alpha=90.00 beta=90.00 gamma=90.00
Fractional coordinates of all 8 atoms:
Sr 0.0000 0.0000 0.0000
Sr 0.5000 0.5000 0.5000
La 0.0000 0.5000 0.2135
La 0.0000 0.5000 0.7865
La 0.5000 0.0000 0.2865
La 0.5000 0.0000 0.7135
Tl 0.0000 0.0000 0.5000
Tl 0.5000 0.5000 0.0000

No. 17
The following is a PBEsol calculation of a geometry-optimized LiAl2Tc structure, from Alexandria via LeMat-Bulk.

Summary:
The total energy comes out at -44.7 eV/cell. The value obtained for the energy above the lowest structure with this stoichiometry is 16 kJ/mol of formula units. As for the calculated density: 4853 kg/m3. The formation energy is -0.2356 eV/atom. The total moment is 0.0 μB per cell.

Unit cell a=3.5693 b=3.5693 c=8.5361 alpha=90.00 beta=90.00 gamma=90.00
Fractional coordinates of all 8 atoms:
Li 0.0000 0.0000 0.0000
Li 0.5000 0.5000 0.5000
Al 0.0000 0.0000 0.5000
Al 0.0000 0.5000 0.2500
Al 0.5000 0.0000 0.7500
Al 0.5000 0.5000 0.0000
Tc 0.0000 0.5000 0.7500
Tc 0.5000 0.0000 0.2500

No. 18
The following is a PBEsol calculation of a geometry-optimized LiFe2Cl structure, from Alexandria via LeMat-Bulk.

Summary:
The total energy comes out at -42.6 eV/cell. The value obtained for the energy above the lowest structure with this stoichiometry is 111 kJ/mol of formula units. As for the energy relative to the elements, uncorrected: 0.16 eV per atom. As for the calculated density: 4105 kg/m3. The total moment is 11.3 μB per cell.

Unit cell a=3.3104 b=3.3104 c=11.3765 alpha=90.00 beta=90.00 gamma=90.00
Fractional coordinates of all 8 atoms:
Li 0.0000 0.0000 0.0000
Li 0.5000 0.5000 0.5000
Fe 0.0000 0.5000 0.2500
Fe 0.0000 0.5000 0.7500
Fe 0.5000 0.0000 0.2500
Fe 0.5000 0.0000 0.7500
Cl 0.0000 0.0000 0.5000
Cl 0.5000 0.5000 0.0000

No. 19
The following is a PBEsol calculation of a geometry-optimized MnAsIr3 structure, from Alexandria via LeMat-Bulk.

Summary:
The total energy comes out at -38.5 eV/cell. As for the calculated density: 12897 kg/m3. The formation energy is 1.1637 eV/atom. The total moment is 5.1 μB per cell.

Unit cell a=4.4973 b=4.4973 c=4.4973 alpha=90.00 beta=90.00 gamma=90.00
Fractional coordinates of all 5 atoms:
Mn 0.0000 0.0000 0.0000
As 0.5000 0.5000 0.5000
Ir 0.0000 0.5000 0.5000
Ir 0.5000 0.0000 0.5000
Ir 0.5000 0.5000 0.0000

No. 20
The following is a PBEsol calculation of a geometry-optimized ScZn2Ir structure, from Alexandria via LeMat-Bulk.

Summary:
The total energy comes out at -42.7 eV/cell. As for the calculated density: 10124 kg/m3. The formation energy is -0.4367 eV/atom. The total moment is 0.0 μB per cell.

Unit cell a=3.9777 b=3.9777 c=7.6292 alpha=90.00 beta=90.00 gamma=90.00
Fractional coordinates of all 8 atoms:
Sc 0.0000 0.0000 0.0000
Sc 0.5000 0.5000 0.5000
Zn 0.0000 0.0000 0.5000
Zn 0.0000 0.5000 0.2500
Zn 0.5000 0.0000 0.7500
Zn 0.5000 0.5000 0.0000
Ir 0.0000 0.5000 0.7500
Ir 0.5000 0.0000 0.2500